1.
Below is a geometry-optimized MgZr2Ag structure, with properties calculated at the GGA-PBE level.

## Properties
total magnetic moment	0.00	μB per formula unit
crystal system	trigonal
formation energy	0.3	eV per formula unit

a b c (Å): 10.664 10.664 10.664
angles (deg): 16.50 16.50 16.50
Sites, in units of the cell vectors:
Mg1 0.750 0.750 0.750
Zr1 0.997 0.997 0.997
Zr2 0.503 0.503 0.503
Ag1 0.250 0.250 0.250


2.
Below is a geometry-optimized MgZr4Ag structure, with properties calculated at the GGA-PBE level.

## Properties
total magnetic moment	0.00	μB per formula unit
crystal system	cubic
formation energy	1.9	eV per formula unit

a b c (Å): 5.793 5.793 5.793
angles (deg): 60.00 60.00 60.00
Sites, in units of the cell vectors:
Ag1 0.750 0.750 0.750
Zr1 0.375 0.375 0.375
Zr2 0.375 0.375 0.876
Zr3 0.375 0.876 0.375
Zr4 0.876 0.375 0.375
Mg1 0.000 0.000 0.000


3.
Below is a geometry-optimized MgZr2Ag structure, with properties calculated at the GGA-PBE level.

## Properties
total magnetic moment	0.01	μB per formula unit
crystal system	tetragonal
formation energy	0.2	eV per formula unit

a b c (Å): 3.106 3.106 8.781
angles (deg): 90.00 90.00 90.00
Sites, in units of the cell vectors:
Mg1 0.500 0.500 0.750
Zr1 0.000 0.000 0.011
Zr2 0.000 0.000 0.489
Ag1 0.500 0.500 0.250